Record 1
DFT (PBE-GGA) results for crystalline Tl3CdIn at its relaxed geometry.

Values from the calculation:
Its formation energy is 83 meV/atom. The calculation puts the density of states at the Fermi level at 1.9 states/eV/f.u. For the total magnetic moment, the calculation gives 0.000 μB/f.u.

Cell: 3.347 8.839 10.962 Å, 90.00 90.00 106.68°
Fractional positions:
Tl1 0.213 0.704 0.490
Tl2 0.389 0.467 0.250
Tl3 0.787 0.296 0.510
Tl4 0.213 0.704 0.010
Tl5 0.787 0.296 0.990
Tl6 0.611 0.533 0.750
In1 0.859 0.840 0.250
In2 0.141 0.160 0.750
Cd1 0.405 0.862 0.750
Cd2 0.595 0.138 0.250

Record 2
DFT (PBE-GGA) results for crystalline TcAuC3 at its relaxed geometry.

Values from the calculation:
Its formation energy is 3300 meV/atom. The calculation puts the density of states at the Fermi level at 4.2 states/eV/f.u. For the total magnetic moment, the calculation gives 0.000 μB/f.u.

Cell: 4.011 4.011 4.011 Å, 90.00 90.00 90.00°
Fractional positions:
C1 0.000 0.000 0.500
C2 0.500 0.000 0.000
C3 0.000 0.500 0.000
Au1 0.000 0.000 0.000
Tc1 0.500 0.500 0.500

Record 3
DFT (PBE-GGA) results for crystalline MgZrZnTc at its relaxed geometry.

Values from the calculation:
Its formation energy is -18 meV/atom. The calculation puts the density of states at the Fermi level at 3.9 states/eV/f.u. For the total magnetic moment, the calculation gives 0.000 μB/f.u.

Cell: 4.624 4.624 4.624 Å, 60.00 60.00 60.00°
Fractional positions:
Zn1 0.750 0.750 0.750
Tc1 0.250 0.250 0.250
Zr1 0.500 0.500 0.500
Mg1 0.000 0.000 0.000

Question: What is the formula in the first record?
Answer: Tl3CdIn

Question: What is the total magnetic moment in the third record?
Answer: 0.000 μB/f.u.

What did the third record say?
DFT (PBE-GGA) results for crystalline MgZrZnTc at its relaxed geometry.

Values from the calculation:
Its formation energy is -18 meV/atom. The calculation puts the density of states at the Fermi level at 3.9 states/eV/f.u. For the total magnetic moment, the calculation gives 0.000 μB/f.u.

Cell: 4.624 4.624 4.624 Å, 60.00 60.00 60.00°
Fractional positions:
Zn1 0.750 0.750 0.750
Tc1 0.250 0.250 0.250
Zr1 0.500 0.500 0.500
Mg1 0.000 0.000 0.000